No. 1
Here is a crystal of LiO2F2 relaxed with PBEsol from Alexandria via LeMat-Bulk. Energies are from SCAN.

Energy above the lowest structure with this stoichiometry in meV per atom: 0
E in eV per atom: -4.8133
ρ in g/cm3: 2.57
Size of the total moment in Bohr magnetons per cell: 1.01

Cell lengths 7.7822, 7.7822, 7.7822 Å; angles 161.05, 161.05, 26.93 degrees
Last column: nearest neighbours and their distance in Å.
Positions (direct):
1 Li 0.0000 0.0000 0.0000  8 F 2.05
2 O 0.2500 0.7500 0.5000  4 O 1.81
3 O 0.7500 0.2500 0.5000  4 O 1.81
4 F 0.4365 0.4365 0.0000  1 F 1.92, 4 Li 2.05
5 F 0.5635 0.5635 0.0000  1 F 1.92, 4 Li 2.05

***

No. 2
Here is a crystal of V5O9 relaxed with PBEsol from Alexandria via LeMat-Bulk. Energies are from SCAN.

E in eV per atom: -12.9270
ρ in g/cm3: 4.81
Size of the total moment in Bohr magnetons per cell: 14.00

Cell lengths 5.4448, 6.9794, 8.3050 Å; angles 69.16, 75.26, 70.72 degrees
Last column: nearest neighbours and their distance in Å.
Positions (direct):
1 V 0.0000 0.0000 0.0000  6 O 1.92-1.96
2 V 0.0000 0.5000 0.0000  6 O 1.93-1.96
3 V 0.2807 0.1753 0.5746  4 O 1.79-1.98
4 V 0.2846 0.6720 0.5795  4 O 1.81-1.95
5 V 0.3410 0.1653 0.2056  6 O 1.86-2.05
6 V 0.3446 0.6615 0.2054  6 O 1.87-2.05
7 V 0.6554 0.3385 0.7946  6 O 1.87-2.05
8 V 0.6590 0.8347 0.7944  6 O 1.86-2.05
9 V 0.7154 0.3280 0.4205  4 O 1.81-1.95
10 V 0.7193 0.8247 0.4254  4 O 1.79-1.98
11 O 0.0264 0.1866 0.7596  3 V 1.79-1.96
12 O 0.0641 0.2037 0.4188  2 V 1.81-1.88
13 O 0.0878 0.1932 0.0782  3 V 1.86-1.93
14 O 0.2590 0.4658 0.1385  3 V 1.87-1.94
15 O 0.2845 0.4900 0.8011  3 V 1.83-1.96
16 O 0.3092 0.4707 0.4590  4 V 1.95-2.10
17 O 0.3750 0.8493 0.9774  3 V 1.88-1.96
18 O 0.4089 0.8508 0.3222  4 V 2.01-2.12
19 O 0.4139 0.8669 0.6340  4 V 1.95-2.10
20 O 0.5861 0.1331 0.3660  4 V 1.95-2.10
21 O 0.5911 0.1492 0.6778  4 V 2.01-2.12
22 O 0.6250 0.1507 0.0226  3 V 1.88-1.96
23 O 0.6908 0.5293 0.5410  4 V 1.95-2.10
24 O 0.7155 0.5100 0.1989  3 V 1.83-1.96
25 O 0.7410 0.5342 0.8615  3 V 1.87-1.94
26 O 0.9122 0.8068 0.9218  3 V 1.86-1.93
27 O 0.9359 0.7963 0.5812  2 V 1.81-1.88
28 O 0.9736 0.8134 0.2404  3 V 1.79-1.96

***

No. 3
Here is a crystal of Ni2WI relaxed with PBEsol from Alexandria via LeMat-Bulk. Energies are from SCAN.

E in eV per atom: -33.4064
ρ in g/cm3: 11.86
Size of the total moment in Bohr magnetons per cell: 0.01

Cell lengths 4.3928, 4.3928, 4.3928 Å; angles 60.00, 60.00, 60.00 degrees
Last column: nearest neighbours and their distance in Å.
Positions (direct):
1 Ni 0.2500 0.2500 0.2500  4 I 2.69, 4 W 2.69
2 Ni 0.7500 0.7500 0.7500  4 W 2.69, 4 I 2.69
3 W 0.0000 0.0000 0.0000  8 Ni 2.69
4 I 0.5000 0.5000 0.5000  8 Ni 2.69

***

No. 4
Here is a crystal of LiYCo2Ir relaxed with PBEsol from Alexandria via LeMat-Bulk. Energies are from SCAN.

Formation energy in eV/atom: 0.208
E in eV per atom: -26.9799
ρ in g/cm3: 9.48
Size of the total moment in Bohr magnetons per cell: 2.85

Cell lengths 4.0647, 4.0647, 4.3054 Å; angles 90.00, 90.00, 90.00 degrees
Last column: nearest neighbours and their distance in Å.
Positions (direct):
1 Li 0.0000 0.0000 0.0000  4 Co 2.03, 2 Ir 2.15
2 Y 0.5000 0.5000 0.5000  4 Ir 2.87, 8 Co 2.96
3 Co 0.0000 0.5000 0.0000  2 Li 2.03
4 Co 0.5000 0.0000 0.0000  2 Li 2.03
5 Ir 0.0000 0.0000 0.5000  2 Li 2.15

***

No. 5
Here is a crystal of Zn2MoBr relaxed with PBEsol from Alexandria via LeMat-Bulk. Energies are from SCAN.

E in eV per atom: -19.9011
ρ in g/cm3: 7.49
Size of the total moment in Bohr magnetons per cell: 2.08

Cell lengths 3.2988, 3.2988, 6.2475 Å; angles 90.00, 90.00, 90.00 degrees
Last column: nearest neighbours and their distance in Å.
Positions (direct):
1 Zn 0.0000 0.0000 0.2074  1 Zn 2.59, 4 Mo 2.67
2 Zn 0.0000 0.0000 0.7926  1 Zn 2.59, 4 Mo 2.67
3 Mo 0.5000 0.5000 0.0000  8 Zn 2.67
4 Br 0.5000 0.5000 0.5000  8 Zn 2.96, 2 Mo 3.12, 4 Br 3.30

***

No. 6
Here is a crystal of Hf2HCl relaxed with PBEsol from Alexandria via LeMat-Bulk. Energies are from SCAN.

E in eV per atom: -34.4023
ρ in g/cm3: 9.90
Size of the total moment in Bohr magnetons per cell: 0.00

Cell lengths 6.0897, 6.0897, 6.0897 Å; angles 129.23, 129.23, 74.64 degrees
Last column: nearest neighbours and their distance in Å.
Positions (direct):
1 Hf 0.0528 0.6250 0.9278  2 H 2.01
2 Hf 0.3750 0.3028 0.4278  2 H 2.01
3 Hf 0.6972 0.1250 0.0722  2 H 2.01
4 Hf 0.8750 0.9472 0.5722  2 H 2.01
5 H 0.0000 0.0000 0.0000  4 Hf 2.01
6 H 0.7500 0.2500 0.5000  4 Hf 2.01
7 Cl 0.2500 0.7500 0.5000  4 Hf 2.45
8 Cl 0.5000 0.5000 0.0000  4 Hf 2.45

***

No. 7
Here is a crystal of CrTcSb2 relaxed with PBEsol from Alexandria via LeMat-Bulk. Energies are from SCAN.

Energy above the lowest structure with this stoichiometry in meV per atom: 116
E in eV per atom: -31.7029
ρ in g/cm3: 9.87
Size of the total moment in Bohr magnetons per cell: 3.53

Cell lengths 4.5403, 4.5403, 4.5403 Å; angles 60.00, 60.00, 60.00 degrees
Last column: nearest neighbours and their distance in Å.
Positions (direct):
1 Cr 0.0000 0.0000 0.0000  8 Sb 2.78
2 Tc 0.5000 0.5000 0.5000  8 Sb 2.78
3 Sb 0.2500 0.2500 0.2500  4 Tc 2.78, 4 Cr 2.78
4 Sb 0.7500 0.7500 0.7500  4 Tc 2.78, 4 Cr 2.78

***

No. 8
Here is a crystal of K2BaBe relaxed with PBEsol from Alexandria via LeMat-Bulk. Energies are from SCAN.

Formation energy in eV/atom: 0.691
E in eV per atom: -14.4496
ρ in g/cm3: 1.85
Size of the total moment in Bohr magnetons per cell: 0.37

Cell lengths 12.2528, 12.2528, 12.2528 Å; angles 20.70, 20.70, 20.70 degrees
Last column: nearest neighbours and their distance in Å.
Positions (direct):
1 K 0.2263 0.2263 0.2263  3 Be 3.32
2 K 0.7737 0.7737 0.7737  3 Be 3.32
3 Ba 0.0000 0.0000 0.0000  6 Ba 4.40, 6 K 4.61
4 Be 0.5000 0.5000 0.5000  6 K 3.32

***

No. 9
Here is a crystal of MnBeCr2 relaxed with PBEsol from Alexandria via LeMat-Bulk. Energies are from SCAN.

Formation energy in eV/atom: -0.161
E in eV per atom: -15.0055
ρ in g/cm3: 6.67
Size of the total moment in Bohr magnetons per cell: 2.80

Cell lengths 2.8003, 2.8003, 5.3279 Å; angles 90.00, 90.00, 90.00 degrees
Last column: nearest neighbours and their distance in Å.
Positions (direct):
1 Mn 0.0000 0.0000 0.0000  4 Be 2.35, 5 Cr 2.41-2.59
2 Be 0.5000 0.5000 0.2369  4 Mn 2.35, 4 Cr 2.39
3 Cr 0.0000 0.0000 0.4868  4 Be 2.39, 4 Cr 2.40, 1 Mn 2.59
4 Cr 0.5000 0.5000 0.7408  4 Cr 2.40, 4 Mn 2.41, 2 Be 2.64-2.68

***

No. 10
Here is a crystal of PrIn2Cl5 relaxed with PBEsol from Alexandria via LeMat-Bulk. Energies are from SCAN.

E in eV per atom: -20.4949
ρ in g/cm3: 4.21
Size of the total moment in Bohr magnetons per cell: 0.00

Cell lengths 12.4984, 8.7074, 7.9444 Å; angles 90.00, 90.00, 90.00 degrees
Last column: nearest neighbours and their distance in Å.
Positions (direct):
1 Pr 0.0064 0.2500 0.0782  7 Cl 2.76-2.85
2 Pr 0.4936 0.7500 0.5782  7 Cl 2.76-2.85
3 Pr 0.5064 0.2500 0.4218  7 Cl 2.76-2.85
4 Pr 0.9936 0.7500 0.9218  7 Cl 2.76-2.85
5 In 0.1717 0.0079 0.5566  8 Cl 3.09-3.36
6 In 0.1717 0.4921 0.5566  8 Cl 3.09-3.36
7 In 0.3283 0.5079 0.0566  8 Cl 3.09-3.36
8 In 0.3283 0.9921 0.0566  8 Cl 3.09-3.36
9 In 0.6717 0.0079 0.9434  8 Cl 3.09-3.36
10 In 0.6717 0.4921 0.9434  8 Cl 3.09-3.36
11 In 0.8283 0.5079 0.4434  8 Cl 3.09-3.36
12 In 0.8283 0.9921 0.4434  8 Cl 3.09-3.36
13 Cl 0.0044 0.2500 0.4289  1 Pr 2.79
14 Cl 0.0755 0.5455 0.1701  2 Pr 2.81-2.85
15 Cl 0.0755 0.9545 0.1701  2 Pr 2.81-2.85
16 Cl 0.1896 0.2500 0.8843  1 Pr 2.76
17 Cl 0.2106 0.7500 0.8398  1 Pr 2.79, 2 In 3.09
18 Cl 0.2894 0.2500 0.3398  1 Pr 2.79, 2 In 3.09
19 Cl 0.3104 0.7500 0.3843  1 Pr 2.76
20 Cl 0.4245 0.0455 0.6701  2 Pr 2.81-2.85
21 Cl 0.4245 0.4545 0.6701  2 Pr 2.81-2.85
22 Cl 0.4956 0.7500 0.9289  1 Pr 2.79
23 Cl 0.5044 0.2500 0.0711  1 Pr 2.79
24 Cl 0.5755 0.5455 0.3299  2 Pr 2.81-2.85
25 Cl 0.5755 0.9545 0.3299  2 Pr 2.81-2.85
26 Cl 0.6896 0.2500 0.6157  1 Pr 2.76
27 Cl 0.7106 0.7500 0.6602  1 Pr 2.79, 2 In 3.09
28 Cl 0.7894 0.2500 0.1602  1 Pr 2.79, 2 In 3.09
29 Cl 0.8104 0.7500 0.1157  1 Pr 2.76
30 Cl 0.9245 0.0455 0.8299  2 Pr 2.81-2.85
31 Cl 0.9245 0.4545 0.8299  2 Pr 2.81-2.85
32 Cl 0.9956 0.7500 0.5711  1 Pr 2.79

***

No. 11
Here is a crystal of BeNi5 relaxed with PBEsol from Alexandria via LeMat-Bulk. Energies are from SCAN.

Energy above the lowest structure with this stoichiometry in meV per atom: 63
Formation energy in eV/atom: -0.099
E in eV per atom: -14.3021
ρ in g/cm3: 8.47
Size of the total moment in Bohr magnetons per cell: 2.75

Cell lengths 4.5910, 4.5910, 5.7141 Å; angles 105.62, 105.62, 30.86 degrees
Last column: nearest neighbours and their distance in Å.
Positions (direct):
1 Be 0.0000 0.0000 0.0000  10 Ni 2.32-2.48, 2 Be 2.44
2 Ni 0.0522 0.0522 0.6003  11 Ni 2.39-2.46, 1 Be 2.45
3 Ni 0.3404 0.3404 0.6817  2 Be 2.32, 10 Ni 2.39-2.58
4 Ni 0.3903 0.3903 0.2586  2 Be 2.33, 10 Ni 2.38-2.58
5 Ni 0.6676 0.6676 0.3264  10 Ni 2.36-2.49, 2 Be 2.37
6 Ni 0.7115 0.7115 0.9384  3 Be 2.34-2.48, 9 Ni 2.36-2.44

***

No. 12
Here is a crystal of AsOs2Pb relaxed with PBEsol from Alexandria via LeMat-Bulk. Energies are from SCAN.

Energy above the lowest structure with this stoichiometry in meV per atom: 0
Formation energy in eV/atom: 0.515
E in eV per atom: -59.4181
ρ in g/cm3: 14.26
Size of the total moment in Bohr magnetons per cell: 0.00

Cell lengths 2.8486, 3.7301, 7.2588 Å; angles 90.00, 90.00, 90.00 degrees
Last column: nearest neighbours and their distance in Å.
Positions (direct):
1 As 0.0000 0.0000 0.0000  5 Os 2.55-2.74, 2 As 2.85
2 Os 0.0000 0.0000 0.3516  1 As 2.55, 6 Os 2.61-2.85
3 Os 0.5000 0.5000 0.1940  6 Os 2.61-2.85, 4 As 2.74
4 Pb 0.5000 0.5000 0.6174  2 Pb 2.85, 5 Os 3.04-3.07

***

No. 13
Here is a crystal of Ca3HfTl relaxed with PBEsol from Alexandria via LeMat-Bulk. Energies are from SCAN.

Formation energy in eV/atom: 0.603
E in eV per atom: -32.2014
ρ in g/cm3: 4.38
Size of the total moment in Bohr magnetons per cell: 2.95

Cell lengths 5.7549, 5.7549, 5.7549 Å; angles 90.00, 90.00, 90.00 degrees
Last column: nearest neighbours and their distance in Å.
Positions (direct):
1 Ca 0.0000 0.0000 0.5000  2 Tl 2.88
2 Ca 0.0000 0.5000 0.0000  2 Tl 2.88
3 Ca 0.5000 0.0000 0.0000  2 Tl 2.88
4 Hf 0.5000 0.5000 0.5000  12 Ca 4.07
5 Tl 0.0000 0.0000 0.0000  6 Ca 2.88